# Cs2NaSCl

A geometry-optimized Cs2NaSCl structure (GGA-PBE, Alexandria).

Cell: 6.744 6.744 5.141 Å, 90.00 90.00 90.00°
Element x y z (fractional)
Na  0.000  0.000  0.500
S  0.000  0.000  0.000
Cs  0.000  0.500  0.000
Cs  0.500  0.000  0.000
Cl  0.500  0.500  0.500

Output
**Total DFT energy (no corrections)**: -3.04 eV per atom
**Raw formation energy**: -596 kJ/mol of formula units
**Space-group type**: P4/mmm (123)